(1)
# PBE NaAcBiPd, relaxed
data_NaAcBiPd
_chemical_formula_sum 'Na4 Ac4 Bi4 Pd4'
_space_group_name_H-M_alt 'F -4 3 m'
_space_group_IT_number 216
_space_group_name_Hall 'F -4 2 3'
_cell_length_a 7.725
_cell_length_b 7.725
_cell_length_c 7.725
_cell_angle_alpha 90.00
_cell_angle_beta 90.00
_cell_angle_gamma 90.00
loop_
_atom_site_label
_atom_site_fract_x
_atom_site_fract_y
_atom_site_fract_z
Na1 0.000 0.000 0.000
Ac1 0.000 0.000 0.500
Bi1 0.250 0.250 0.750
Pd1 0.250 0.250 0.250
# DOS(E_F) in states/eV per atom: 0.358
# Formation enthalpy at 0 K in kJ/mol of formula units: -185
# Calculated total energy in eV/atom: -4.104

***

(2)
# PBE NaAcPrBi, relaxed
data_NaAcPrBi
_chemical_formula_sum 'Na4 Ac4 Pr4 Bi4'
_space_group_name_H-M_alt 'F -4 3 m'
_space_group_IT_number 216
_space_group_name_Hall 'F -4 2 3'
_cell_length_a 8.148
_cell_length_b 8.148
_cell_length_c 8.148
_cell_angle_alpha 90.00
_cell_angle_beta 90.00
_cell_angle_gamma 90.00
loop_
_atom_site_label
_atom_site_fract_x
_atom_site_fract_y
_atom_site_fract_z
Na1 0.000 0.000 0.000
Ac1 0.250 0.250 0.750
Pr1 0.250 0.250 0.250
Bi1 0.000 0.000 0.500
# DOS(E_F) in states/eV per atom: 1.242
# Formation enthalpy at 0 K in kJ/mol of formula units: -105
# Calculated total energy in eV/atom: -3.795

***

(3)
# PBE NaAcBiPt, relaxed
data_NaAcBiPt
_chemical_formula_sum 'Na4 Ac4 Bi4 Pt4'
_space_group_name_H-M_alt 'F -4 3 m'
_space_group_IT_number 216
_space_group_name_Hall 'F -4 2 3'
_cell_length_a 7.464
_cell_length_b 7.464
_cell_length_c 7.464
_cell_angle_alpha 90.00
_cell_angle_beta 90.00
_cell_angle_gamma 90.00
loop_
_atom_site_label
_atom_site_fract_x
_atom_site_fract_y
_atom_site_fract_z
Na1 0.000 0.000 0.000
Ac1 0.250 0.250 0.250
Bi1 0.250 0.250 0.750
Pt1 0.000 0.000 0.500
# DOS(E_F) in states/eV per atom: 0.705
# Formation enthalpy at 0 K in kJ/mol of formula units: -195
# Calculated total energy in eV/atom: -4.342

***

(4)
# PBE NaAcPuBi, relaxed
data_NaAcPuBi
_chemical_formula_sum 'Na4 Ac4 Pu4 Bi4'
_space_group_name_H-M_alt 'F -4 3 m'
_space_group_IT_number 216
_space_group_name_Hall 'F -4 2 3'
_cell_length_a 8.109
_cell_length_b 8.109
_cell_length_c 8.109
_cell_angle_alpha 90.00
_cell_angle_beta 90.00
_cell_angle_gamma 90.00
loop_
_atom_site_label
_atom_site_fract_x
_atom_site_fract_y
_atom_site_fract_z
Na1 0.000 0.000 0.000
Ac1 0.250 0.250 0.250
Pu1 0.250 0.250 0.750
Bi1 0.000 0.000 0.500
# DOS(E_F) in states/eV per atom: 3.718
# Formation enthalpy at 0 K in kJ/mol of formula units: -26
# Calculated total energy in eV/atom: -5.977

***

(5)
# PBE NaAc2Bi3Rh4, relaxed
data_NaAc2Bi3Rh4
_chemical_formula_sum 'Na1 Ac2 Bi3 Rh4'
_space_group_name_H-M_alt 'P -4 m 2'
_space_group_IT_number 115
_space_group_name_Hall 'P -4 -2'
_cell_length_a 4.415
_cell_length_b 4.415
_cell_length_c 12.363
_cell_angle_alpha 90.00
_cell_angle_beta 90.00
_cell_angle_gamma 90.00
loop_
_atom_site_label
_atom_site_fract_x
_atom_site_fract_y
_atom_site_fract_z
Na1 0.000 0.000 0.000
Ac1 0.000 0.500 0.760
Bi1 0.000 0.500 0.373
Bi2 0.500 0.500 0.000
Rh1 0.000 0.000 0.500
Rh2 0.000 0.500 0.156
Rh3 0.500 0.500 0.500
# DOS(E_F) in states/eV per atom: 0.470
# Formation enthalpy at 0 K in kJ/mol of formula units: -449
# Calculated total energy in eV/atom: -5.524

***

(6)
# PBE Na2AcBiS4, relaxed
data_Na2AcBiS4
_chemical_formula_sum 'Na2 Ac1 Bi1 S4'
_space_group_name_H-M_alt 'P 1 2/m 1'
_space_group_IT_number 10
_space_group_name_Hall '-P 2y'
_cell_length_a 7.197
_cell_length_b 4.227
_cell_length_c 7.281
_cell_angle_alpha 90.00
_cell_angle_beta 109.73
_cell_angle_gamma 90.00
loop_
_atom_site_label
_atom_site_fract_x
_atom_site_fract_y
_atom_site_fract_z
Na1 0.000 0.000 0.000
Na2 0.000 0.500 0.500
Ac1 0.500 0.000 0.500
Bi1 0.500 0.500 0.000
S1 0.259 0.500 0.243
S2 0.262 0.000 0.764
# DOS(E_F) in states/eV per atom: 0.000
# Energy relative to the elements, uncorrected in meV per atom: -1277
# Calculated total energy in eV/atom: -4.669

***

(7)
# PBE Na3AcBi2S6, relaxed
data_Na3AcBi2S6
_chemical_formula_sum 'Na6 Ac2 Bi4 S12'
_space_group_name_H-M_alt 'C 1 2/m 1'
_space_group_IT_number 12
_space_group_name_Hall '-C 2y'
_cell_length_a 7.212
_cell_length_b 12.499
_cell_length_c 7.204
_cell_angle_alpha 90.00
_cell_angle_beta 109.40
_cell_angle_gamma 90.00
loop_
_atom_site_label
_atom_site_fract_x
_atom_site_fract_y
_atom_site_fract_z
Na1 0.000 0.000 0.000
Na2 0.000 0.329 0.000
Ac1 0.000 0.500 0.500
Bi1 0.000 0.167 0.500
S1 0.234 0.000 0.740
S2 0.249 0.173 0.263
# DOS(E_F) in states/eV per atom: 0.000
# Energy relative to the elements, uncorrected in meV per atom: -1109
# Calculated total energy in eV/atom: -4.492

***

(8)
# PBE NaAcBiSb, relaxed
data_NaAcBiSb
_chemical_formula_sum 'Na4 Ac4 Bi4 Sb4'
_space_group_name_H-M_alt 'F -4 3 m'
_space_group_IT_number 216
_space_group_name_Hall 'F -4 2 3'
_cell_length_a 8.061
_cell_length_b 8.061
_cell_length_c 8.061
_cell_angle_alpha 90.00
_cell_angle_beta 90.00
_cell_angle_gamma 90.00
loop_
_atom_site_label
_atom_site_fract_x
_atom_site_fract_y
_atom_site_fract_z
Na1 0.000 0.000 0.000
Ac1 0.000 0.000 0.500
Bi1 0.250 0.250 0.250
Sb1 0.250 0.250 0.750
# DOS(E_F) in states/eV per atom: 0.994
# Energy relative to the elements, uncorrected in meV per atom: -538
# Calculated total energy in eV/atom: -3.896

***

(9)
# PBE NaAcBi2Se4, relaxed
data_NaAcBi2Se4
_chemical_formula_sum 'Na1 Ac1 Bi2 Se4'
_space_group_name_H-M_alt 'P 1 2/m 1'
_space_group_IT_number 10
_space_group_name_Hall '-P 2y'
_cell_length_a 7.697
_cell_length_b 4.268
_cell_length_c 8.150
_cell_angle_alpha 90.00
_cell_angle_beta 105.94
_cell_angle_gamma 90.00
loop_
_atom_site_label
_atom_site_fract_x
_atom_site_fract_y
_atom_site_fract_z
Na1 0.000 0.000 0.000
Ac1 0.500 0.500 0.500
Bi1 0.000 0.500 0.500
Bi2 0.500 0.000 0.000
Se1 0.272 0.000 0.640
Se2 0.289 0.500 0.113
# DOS(E_F) in states/eV per atom: 0.002
# Energy relative to the elements, uncorrected in meV per atom: -884
# Calculated total energy in eV/atom: -4.275

***

(10)
# PBE NaAcSnBi, relaxed
data_NaAcSnBi
_chemical_formula_sum 'Na4 Ac4 Sn4 Bi4'
_space_group_name_H-M_alt 'F -4 3 m'
_space_group_IT_number 216
_space_group_name_Hall 'F -4 2 3'
_cell_length_a 8.054
_cell_length_b 8.054
_cell_length_c 8.054
_cell_angle_alpha 90.00
_cell_angle_beta 90.00
_cell_angle_gamma 90.00
loop_
_atom_site_label
_atom_site_fract_x
_atom_site_fract_y
_atom_site_fract_z
Na1 0.000 0.000 0.000
Ac1 0.000 0.000 0.500
Sn1 0.250 0.250 0.750
Bi1 0.250 0.250 0.250
# DOS(E_F) in states/eV per atom: 0.932
# Formation enthalpy at 0 K in kJ/mol of formula units: -158
# Calculated total energy in eV/atom: -3.736

***

(11)
# PBE NaSrAcBi, relaxed
data_NaSrAcBi
_chemical_formula_sum 'Na4 Sr4 Ac4 Bi4'
_space_group_name_H-M_alt 'F -4 3 m'
_space_group_IT_number 216
_space_group_name_Hall 'F -4 2 3'
_cell_length_a 8.398
_cell_length_b 8.398
_cell_length_c 8.398
_cell_angle_alpha 90.00
_cell_angle_beta 90.00
_cell_angle_gamma 90.00
loop_
_atom_site_label
_atom_site_fract_x
_atom_site_fract_y
_atom_site_fract_z
Na1 0.000 0.000 0.000
Sr1 0.250 0.250 0.250
Ac1 0.250 0.250 0.750
Bi1 0.000 0.000 0.500
# DOS(E_F) in states/eV per atom: 1.100
# Formation enthalpy at 0 K in kJ/mol of formula units: -122
# Calculated total energy in eV/atom: -3.065

***

(12)
# PBE NaAcBiTe, relaxed
data_NaAcBiTe
_chemical_formula_sum 'Na4 Ac4 Bi4 Te4'
_space_group_name_H-M_alt 'F -4 3 m'
_space_group_IT_number 216
_space_group_name_Hall 'F -4 2 3'
_cell_length_a 8.097
_cell_length_b 8.097
_cell_length_c 8.097
_cell_angle_alpha 90.00
_cell_angle_beta 90.00
_cell_angle_gamma 90.00
loop_
_atom_site_label
_atom_site_fract_x
_atom_site_fract_y
_atom_site_fract_z
Na1 0.000 0.000 0.000
Ac1 0.000 0.000 0.500
Bi1 0.250 0.250 0.250
Te1 0.250 0.250 0.750
# DOS(E_F) in states/eV per atom: 0.853
# Energy relative to the elements, uncorrected in meV per atom: -786
# Calculated total energy in eV/atom: -3.898

***

(13)
# PBE NaAcTlBi, relaxed
data_NaAcTlBi
_chemical_formula_sum 'Na2 Ac2 Tl2 Bi2'
_space_group_name_H-M_alt 'I -4 m 2'
_space_group_IT_number 119
_space_group_name_Hall 'I -4 -2'
_cell_length_a 5.248
_cell_length_b 5.248
_cell_length_c 9.554
_cell_angle_alpha 90.00
_cell_angle_beta 90.00
_cell_angle_gamma 90.00
loop_
_atom_site_label
_atom_site_fract_x
_atom_site_fract_y
_atom_site_fract_z
Na1 0.000 0.000 0.000
Ac1 0.000 0.000 0.500
Tl1 0.000 0.500 0.250
Bi1 0.000 0.500 0.750
# DOS(E_F) in states/eV per atom: 0.441
# Formation enthalpy at 0 K in kJ/mol of formula units: -150
# Calculated total energy in eV/atom: -3.307